No. 1
A plane-wave DFT calculation with PBE was carried out for an optimized crystal structure of NdDyGe2.

Unit cell a=4.812 b=4.812 c=4.094 alpha=90.00 beta=90.00 gamma=90.00
Element x y z (fractional)
1 Nd 0.000 0.000 0.000
2 Dy 0.500 0.500 0.000
3 Ge 0.000 0.500 0.500
4 Ge 0.500 0.000 0.500

Computed properties:
calculated total energy: -21.09 eV for the cell shown
symmetry: P4/mmm
calculated density: 7.918 Mg/m³

---

No. 2
A plane-wave DFT calculation with PBE was carried out for an optimized crystal structure of Nd5DyGe4.

Unit cell a=8.321 b=8.321 c=7.022 alpha=90.82 beta=90.82 gamma=35.69
Element x y z (fractional)
1 Nd 0.000 0.000 0.000
2 Nd 0.334 0.334 0.493
3 Nd 0.336 0.336 0.004
4 Nd 0.664 0.664 0.996
5 Nd 0.666 0.666 0.507
6 Dy 0.000 0.000 0.500
7 Ge 0.176 0.176 0.749
8 Ge 0.491 0.491 0.742
9 Ge 0.509 0.509 0.258
10 Ge 0.824 0.824 0.251

Computed properties:
calculated total energy: -53.08 eV for the cell shown
symmetry: C2/m
calculated density: 6.874 Mg/m³

---

No. 3
A plane-wave DFT calculation with PBE was carried out for an optimized crystal structure of NdDyNi2Ge2.

Unit cell a=4.252 b=4.252 c=7.345 alpha=90.00 beta=90.00 gamma=120.00
Element x y z (fractional)
1 Nd 0.000 0.000 0.000
2 Dy 0.000 0.000 0.500
3 Ni 0.333 0.667 0.718
4 Ni 0.667 0.333 0.282
5 Ge 0.333 0.667 0.268
6 Ge 0.667 0.333 0.732

Computed properties:
calculated total energy: -34.56 eV for the cell shown
symmetry: P-3m1
calculated density: 8.223 Mg/m³

---

No. 4
A plane-wave DFT calculation with PBE was carried out for an optimized crystal structure of NdDy2Ni2Ge2.

Unit cell a=9.674 b=9.674 c=9.674 alpha=25.58 beta=25.58 gamma=25.58
Element x y z (fractional)
1 Nd 0.000 0.000 0.000
2 Dy 0.125 0.125 0.125
3 Dy 0.875 0.875 0.875
4 Ni 0.405 0.405 0.405
5 Ni 0.595 0.595 0.595
6 Ge 0.261 0.261 0.261
7 Ge 0.739 0.739 0.739

Computed properties:
calculated total energy: -39.13 eV for the cell shown
symmetry: R-3m
calculated density: 8.176 Mg/m³

---

No. 5
A plane-wave DFT calculation with PBE was carried out for an optimized crystal structure of NdDyGePt.

Unit cell a=7.204 b=7.204 c=7.204 alpha=90.00 beta=90.00 gamma=90.00
Element x y z (fractional)
1 Nd 0.000 0.000 0.000
2 Nd 0.000 0.500 0.500
3 Nd 0.500 0.000 0.500
4 Nd 0.500 0.500 0.000
5 Dy 0.000 0.000 0.500
6 Dy 0.000 0.500 0.000
7 Dy 0.500 0.000 0.000
8 Dy 0.500 0.500 0.500
9 Ge 0.250 0.250 0.750
10 Ge 0.250 0.750 0.250
11 Ge 0.750 0.250 0.250
12 Ge 0.750 0.750 0.750
13 Pt 0.250 0.250 0.250
14 Pt 0.250 0.750 0.750
15 Pt 0.750 0.250 0.750
16 Pt 0.750 0.750 0.250

Computed properties:
calculated total energy: -94.09 eV for the cell shown
symmetry: F-43m
calculated density: 10.206 Mg/m³

---

No. 6
A plane-wave DFT calculation with PBE was carried out for an optimized crystal structure of NdDyGePt.

Unit cell a=4.285 b=4.027 c=11.108 alpha=90.00 beta=90.00 gamma=90.00
Element x y z (fractional)
1 Nd 0.000 0.000 0.000
2 Nd 0.000 0.500 0.500
3 Dy 0.500 0.000 0.723
4 Dy 0.500 0.500 0.223
5 Ge 0.500 0.000 0.434
6 Ge 0.500 0.500 0.934
7 Pt 0.000 0.000 0.272
8 Pt 0.000 0.500 0.772

Computed properties:
calculated total energy: -48.28 eV for the cell shown
symmetry: Amm2
calculated density: 9.954 Mg/m³

---

No. 7
A plane-wave DFT calculation with PBE was carried out for an optimized crystal structure of Nd2DyGe4Pt3.

Unit cell a=4.313 b=4.313 c=11.300 alpha=90.00 beta=90.00 gamma=90.00
Element x y z (fractional)
1 Nd 0.000 0.500 0.231
2 Nd 0.500 0.000 0.769
3 Dy 0.000 0.000 0.500
4 Ge 0.000 0.000 0.000
5 Ge 0.000 0.500 0.663
6 Ge 0.500 0.000 0.337
7 Ge 0.500 0.500 0.000
8 Pt 0.000 0.500 0.883
9 Pt 0.500 0.000 0.117
10 Pt 0.500 0.500 0.500

Computed properties:
calculated total energy: -59.80 eV for the cell shown
symmetry: P-4m2
calculated density: 10.481 Mg/m³

---

No. 8
A plane-wave DFT calculation with PBE was carried out for an optimized crystal structure of NdDy2Ge2Pt7.

Unit cell a=4.095 b=4.095 c=14.128 alpha=96.72 beta=96.72 gamma=89.22
Element x y z (fractional)
1 Nd 0.000 0.000 0.000
2 Dy 0.126 0.126 0.360
3 Dy 0.874 0.874 0.640
4 Ge 0.395 0.395 0.739
5 Ge 0.605 0.605 0.261
6 Pt 0.065 0.565 0.161
7 Pt 0.362 0.362 0.566
8 Pt 0.435 0.935 0.839
9 Pt 0.500 0.500 0.000
10 Pt 0.565 0.065 0.161
11 Pt 0.638 0.638 0.434
12 Pt 0.935 0.435 0.839

Computed properties:
calculated total energy: -76.58 eV for the cell shown
symmetry: C2/m
calculated density: 14.073 Mg/m³